PmV2TeO8: relaxed, GGA+U.

Cell lengths 8.783, 5.937, 7.306 Å; angles 90.00, 91.33, 90.00 degrees
Space group C2/m (No. 12)
Symmetry-distinct sites (fractional):
Pm 0.000 0.000 0.000 [2 per cell]
V 0.137 0.500 0.255 [4 per cell]
Te 0.000 0.000 0.500 [2 per cell]
O 0.027 0.241 0.264 [8 per cell]
O 0.235 0.000 0.554 [4 per cell]
O 0.239 0.500 0.059 [4 per cell]

Output
The uncorrected energy is -0.2624 Ha/atom.